[1]
# ZrPa2Mn

A relaxed structure of ZrPa2Mn (PBE, the Alexandria database).

Electronic total energy in eV/cell: -296.1
Polymorph energy (0 for the lowest one) in meV per atom: 0
V in Å³ per cell: 677.63
Crystal system: orthorhombic
Energy of formation in eV per atom: -0.076

Structure (POSCAR):
```
ZrPa2Mn
1.0
-3.2143 2.4579 -3.9334
-6.7989 -5.8179 1.9204
-4.6146 8.3622 8.9962
Zr Pa Mn
8 16 8
Cartesian
-4.1833 1.1591 -0.3946
-6.9187 -1.2698 4.3708
-10.4445 3.8430 7.3778
-7.7091 6.2720 2.6124
-5.9776 3.7528 1.1105
-6.3804 -2.9030 1.3285
-8.6501 1.2493 5.8727
-8.2473 7.9052 5.6547
-1.6321 1.5798 1.8047
-9.4911 -1.6743 2.1455
-10.4681 5.5851 4.4646
-7.6642 4.5136 5.5516
-12.9956 3.4223 5.1785
-5.1367 6.6764 4.8377
-4.1596 -0.5830 2.5186
-6.9635 0.4885 1.4316
-6.3398 -1.1253 -1.5505
-5.9458 1.9197 4.0782
-5.6666 8.3706 7.7933
-11.3033 0.8392 3.6454
-8.2880 6.1274 8.5337
-8.6819 3.0824 2.9050
-8.9612 -3.3685 -0.8101
-3.3244 4.1629 3.3378
-4.0984 2.0008 2.4560
-8.3168 -1.1073 -0.0869
-10.5294 3.0013 4.5272
-6.3109 6.1094 7.0701
-2.1872 -0.7109 1.0071
-8.7929 0.5070 3.1182
-12.4405 5.7130 5.9761
-5.8348 4.4951 3.8650
```

[2]
# BiRu3F

A relaxed structure of BiRu3F (PBE, the Alexandria database).

Electronic total energy in eV/cell: -23.8
Formation energy without anion corrections in meV per atom: 1956
Polymorph energy (0 for the lowest one) in meV per atom: 1034
V in Å³ per cell: 131.76
Crystal system: cubic

Structure (POSCAR):
```
BiRu3F
1.0
-0.4043 2.9185 -4.1487
-4.8284 1.0539 1.2120
1.5544 4.0329 2.6856
Ru Bi F
3 1 1
Cartesian
-2.4142 0.5270 0.6060
0.7772 2.0165 1.3428
-0.2022 1.4593 -2.0744
0.0000 0.0000 0.0000
-1.8392 4.0027 -0.1256
```

[3]
# ErZnPd

A relaxed structure of ErZnPd (PBE, the Alexandria database).

Electronic total energy in eV/cell: -13.1
V in Å³ per cell: 59.23
Crystal system: hexagonal
Energy of formation in eV per atom: -0.682

Structure (POSCAR):
```
ErZnPd
1.0
3.4665 0.0000 0.0000
0.0000 4.4417 0.0000
0.0000 -2.2209 3.8467
Zn Pd Er
1 1 1
Cartesian
0.5774 0.0000 0.0000
0.5782 0.0000 2.5644
2.3109 2.2209 1.2822
```

[4]
# Sb2Ru2N

A relaxed structure of Sb2Ru2N (PBE, the Alexandria database).

Electronic total energy in eV/cell: -61.2
Formation energy without anion corrections in meV per atom: 909
Polymorph energy (0 for the lowest one) in meV per atom: 507
V in Å³ per cell: 169.98
Crystal system: tetragonal

Structure (POSCAR):
```
Sb2Ru2N
1.0
-5.3705 2.7307 4.1910
-2.8468 -6.7246 0.7336
1.7686 -0.4682 2.5714
Sb N Ru
4 2 4
Cartesian
-1.8250 -4.2214 2.4231
-5.0427 -4.1138 4.6558
-4.6237 -0.2407 5.0728
-1.4060 -0.3484 2.8401
0.0000 0.0000 0.0000
-4.1086 -1.9970 2.4623
-4.3574 -4.7884 2.1251
-6.4331 -1.9833 4.0635
-3.8599 0.7944 2.7995
-1.7842 -2.0107 0.8610
```

[5]
# Sc2Be2VRh5

A relaxed structure of Sc2Be2VRh5 (PBE, the Alexandria database).

Electronic total energy in eV/cell: -147.5
V in Å³ per cell: 277.49
Crystal system: tetragonal
Energy of formation in eV per atom: -0.774

Structure (POSCAR):
```
Sc2Be2VRh5
1.0
-1.4896 -2.2355 -1.6261
-0.3322 -5.3804 7.7013
-8.2689 3.8252 2.3157
Sc Be V Rh
4 4 2 10
Cartesian
-1.6590 -2.9602 5.5892
-6.9421 1.4049 4.4278
-2.7569 0.3148 2.0926
-5.8442 -1.8701 7.9244
-5.1899 1.7217 2.3871
-3.4112 -3.2770 7.6299
-7.4611 0.0053 6.8272
-1.1400 -1.5606 3.1898
0.0000 0.0000 0.0000
-4.3005 -0.7776 5.0085
-1.3925 -1.9594 0.9373
-8.6982 -1.8314 7.4536
-7.3317 1.5417 1.5646
-4.5347 -3.2729 5.6214
-2.7590 -5.3325 6.8264
-5.5560 -0.5179 2.7695
-6.7738 -1.4834 5.2124
-3.3168 -2.3074 3.1785
-0.9109 -3.8080 3.0376
-4.8792 0.7948 0.3448
```

[6]
# IrO3

A relaxed structure of IrO3 (PBE, the Alexandria database).

Electronic total energy in eV/cell: -102.1
Formation energy without anion corrections in meV per atom: -448
V in Å³ per cell: 191.63
Crystal system: orthorhombic

Structure (POSCAR):
```
IrO3
1.0
3.5722 -3.6473 0.0000
3.5722 3.6473 0.0000
0.0000 0.0000 7.3540
Ir O
4 12
Cartesian
1.7861 1.8237 3.6770
1.7861 -1.8237 3.6770
1.7861 1.8237 0.0000
1.7861 -1.8237 0.0000
2.3506 0.0000 3.6770
4.7938 0.0000 0.0000
4.7938 0.0000 3.6770
2.3506 0.0000 0.0000
3.5722 2.4148 0.5326
3.5722 -2.4148 6.8214
3.5722 -2.4148 4.2096
3.5722 2.4148 3.1444
2.3091 1.9636 5.5155
4.8353 1.9636 5.5155
4.8353 -1.9636 1.8385
2.3091 -1.9636 1.8385
```

[7]
# Rb2Er2PdO6

A relaxed structure of Rb2Er2PdO6 (PBE, the Alexandria database).

Electronic total energy in eV/cell: -69.2
Formation energy without anion corrections in meV per atom: -2110
V in Å³ per cell: 190.88
Crystal system: monoclinic

Structure (POSCAR):
```
Rb2Er2PdO6
1.0
5.7468 -0.0013 0.0877
-2.8415 4.9951 0.0877
-0.9954 -1.7110 6.5902
Rb Er Pd O
2 2 1 6
Cartesian
4.3404 0.8169 0.0877
-1.4352 4.1770 0.0877
-0.4624 2.4660 3.3828
2.3722 0.8169 3.3828
-0.4977 -0.8555 3.2951
1.4949 2.5695 4.5219
-1.4167 0.6811 4.4171
0.4150 0.7134 2.2437
1.2923 -0.8949 4.4171
3.3266 2.6018 2.3485
0.6176 4.1778 2.3485
```

[8]
# PmPaTlBi

A relaxed structure of PmPaTlBi (PBE, the Alexandria database).

Electronic total energy in eV/cell: -20.9
V in Å³ per cell: 115.75
Crystal system: cubic
Energy of formation in eV per atom: -0.105

Structure (POSCAR):
```
PmPaTlBi
1.0
5.4703 0.0000 0.0000
2.7352 4.7374 0.0000
2.7352 1.5791 4.4665
Tl Pa Bi Pm
1 1 1 1
Cartesian
8.2055 4.7374 3.3499
5.4703 3.1583 2.2332
2.7352 1.5791 1.1166
0.0000 0.0000 0.0000
```